VASP calculation (GGA-PBE) on a relaxed structure of TcBr2Cl.

Output
Mass density (g/cm3): 5.336
ΔE_f (raw) (eV per atom): 0.695
Spin magnetization (μB per formula unit): 3.996
Excess energy over the best structure of this formula in the dataset (kJ/mol of formula units): 397
Space group: F-43m
VASP energy (eV per atom): -3.19

a b c (Å): 5.0543 5.0543 5.0543
angles (deg): 120.03 120.03 89.95
Last column: magnetic moment on the atom in μB.
Fractional positions:
Cl: 0.5000 0.5000 0.0000  0.01
Br: 0.2500 0.7500 0.5000  -0.15
Br: 0.0000 0.0000 0.0000  -0.04
Tc: 0.7500 0.2500 0.5000  3.77



VASP calculation (GGA-PBE) on a relaxed structure of Ce4Tl2Ag.

Output
Formation energy (eV per atom): 0.03
Mass density (g/cm3): 9.669
Spin magnetization (μB per formula unit): 0.129
Space group: Cmmm
VASP energy (eV per atom): -4.45

a b c (Å): 3.2202 3.2235 17.8943
angles (deg): 95.17 90.00 90.00
Last column: magnetic moment on the atom in μB.
Fractional positions:
Ce: 0.5000 0.0655 0.1309  0.00
Ce: 0.0000 0.3630 0.7260  0.05
Ce: 0.0000 0.6370 0.2740  0.05
Ce: 0.5000 0.9345 0.8691  0.00
Ag: 0.0000 0.5000 0.0000  0.00
Tl: 0.5000 0.7897 0.5794  0.00
Tl: 0.5000 0.2103 0.4206  0.00



VASP calculation (GGA-PBE) on a relaxed structure of TiTlV2Ni.

Output
Formation energy (eV per atom): 0.58
Mass density (g/cm3): 7.634
Spin magnetization (μB per formula unit): 1.362
Space group: P4/mmm
VASP energy (eV per atom): -6.27

a b c (Å): 4.4462 4.5425 4.4462
angles (deg): 90.00 90.00 90.00
Last column: magnetic moment on the atom in μB.
Fractional positions:
V: 0.5000 0.0000 0.0000  0.83
V: 0.0000 0.0000 0.5000  0.60
Ti: 0.0000 0.5000 0.0000  -0.18
Tl: 0.5000 0.5000 0.5000  -0.02
Ni: 0.0000 0.0000 0.0000  0.01



VASP calculation (GGA-PBE) on a relaxed structure of Cd3AgPd.

Output
Formation energy (eV per atom): -0.18
Mass density (g/cm3): 9.661
Spin magnetization (μB per formula unit): 0.000
Excess energy over the best structure of this formula in the dataset (kJ/mol of formula units): 0
Space group: P-1
VASP energy (eV per atom): -2.33

a b c (Å): 4.2542 5.9257 7.8709
angles (deg): 82.30 105.28 90.29
Fractional positions:
Cd: 0.0268 0.5514 0.0836
Cd: 0.2241 0.9350 0.4798
Cd: 0.6253 0.2502 0.2826
Cd: 0.0171 0.0270 0.0706
Cd: 0.4188 0.3282 0.8716
Cd: 0.8200 0.6434 0.6742
Pd: 0.4197 0.8274 0.8737
Pd: 0.6240 0.7513 0.2801
Ag: 0.8211 0.1356 0.6751
Ag: 0.2229 0.4428 0.4791



VASP calculation (GGA-PBE) on a relaxed structure of BaBe3Ag.

Output
Formation energy (eV per atom): 2.19
Mass density (g/cm3): 2.636
Spin magnetization (μB per formula unit): 0.000
Excess energy over the best structure of this formula in the dataset (kJ/mol of formula units): 813
Space group: Pm-3m
VASP energy (eV per atom): -1.00

a b c (Å): 5.5557 5.5557 5.5557
angles (deg): 90.00 90.00 90.00
Fractional positions:
Ag: 0.5000 0.5000 0.5000
Be: 0.5000 0.0000 0.0000
Be: 0.0000 0.5000 0.0000
Be: 0.0000 0.0000 0.5000
Ba: 0.0000 0.0000 0.0000



VASP calculation (GGA-PBE) on a relaxed structure of CsSiRhCl2.

Output
Mass density (g/cm3): 4.026
ΔE_f (raw) (eV per atom): -0.403
Spin magnetization (μB per formula unit): 0.038
Space group: P4/mmm
VASP energy (eV per atom): -3.87

a b c (Å): 5.5025 4.5608 5.5025
angles (deg): 90.00 90.00 90.00
Fractional positions:
Cl: 0.5000 0.0000 0.0000
Cl: 0.0000 0.0000 0.5000
Si: 0.0000 0.0000 0.0000
Rh: 0.0000 0.5000 0.0000
Cs: 0.5000 0.5000 0.5000



VASP calculation (GGA-PBE) on a relaxed structure of HfMnSbOs2.

Output
Mass density (g/cm3): 12.858
ΔE_f (raw) (eV per atom): 0.894
Spin magnetization (μB per formula unit): 0.000
Space group: P4/mmm
VASP energy (eV per atom): -8.25

a b c (Å): 4.4958 4.7003 4.4958
angles (deg): 90.00 90.00 90.00
Fractional positions:
Sb: 0.5000 0.5000 0.5000
Os: 0.0000 0.0000 0.5000
Os: 0.5000 0.0000 0.0000
Mn: 0.0000 0.0000 0.0000
Hf: 0.0000 0.5000 0.0000



VASP calculation (GGA-PBE) on a relaxed structure of DyMn2Fe9.

Output
Formation energy (eV per atom): 0.05
Mass density (g/cm3): 8.306
Spin magnetization (μB per formula unit): 21.689
Space group: P4/mbm
VASP energy (eV per atom): -8.21

a b c (Å): 4.7833 8.0489 8.0489
angles (deg): 90.00 90.00 90.00
Last column: magnetic moment on the atom in μB.
Fractional positions:
Fe: 0.5000 0.5684 0.2871  2.10
Fe: 0.2344 0.1764 0.6764  1.49
Fe: 0.7656 0.1764 0.6764  1.49
Fe: 0.5000 0.4316 0.7129  2.10
Fe: 0.2344 0.3236 0.1764  1.49
Fe: 0.2344 0.8236 0.3236  1.49
Fe: 0.5000 0.2871 0.4316  2.10
Fe: 0.7656 0.3236 0.1764  1.49
Fe: 0.5000 0.5000 0.0000  1.57
Fe: 0.5000 0.0000 0.5000  1.57
Fe: 0.5000 0.7129 0.5684  2.10
Fe: 0.2344 0.6764 0.8236  1.49
Fe: 0.5000 0.2129 0.9316  2.10
Fe: 0.7656 0.8236 0.3236  1.49
Fe: 0.5000 0.0684 0.2129  2.10
Fe: 0.7656 0.6764 0.8236  1.49
Fe: 0.5000 0.9316 0.7871  2.10
Fe: 0.5000 0.7871 0.0684  2.10
Mn: 0.0000 0.3818 0.8818  3.06
Mn: 0.0000 0.8818 0.6182  3.06
Mn: 0.0000 0.1182 0.3818  3.06
Mn: 0.0000 0.6182 0.1182  3.06
Dy: 0.0000 0.0000 0.0000  -0.35
Dy: 0.0000 0.5000 0.5000  -0.35



VASP calculation (GGA-PBE) on a relaxed structure of LaPrNd2.

Output
Formation energy (eV per atom): 0.01
Mass density (g/cm3): 6.546
Spin magnetization (μB per formula unit): 0.000
Excess energy over the best structure of this formula in the dataset (kJ/mol of formula units): 0
Space group: R-3m
VASP energy (eV per atom): -4.80

a b c (Å): 3.7091 3.7091 12.2878
angles (deg): 81.32 81.32 60.00
Fractional positions:
Nd: 0.2497 0.2497 0.2510
Nd: 0.7503 0.7503 0.7490
La: 0.0000 0.0000 0.0000
Pr: 0.5000 0.5000 0.5000



VASP calculation (GGA-PBE) on a relaxed structure of KBaAsSe2.

Output
Mass density (g/cm3): 3.875
ΔE_f (raw) (eV per atom): -0.048
Spin magnetization (μB per formula unit): 0.000
Excess energy over the best structure of this formula in the dataset (kJ/mol of formula units): 57
Space group: P4/mmm
VASP energy (eV per atom): -2.98

a b c (Å): 5.7027 5.7027 5.3928
angles (deg): 90.00 90.00 90.00
Fractional positions:
Se: 0.0000 0.5000 0.0000
Se: 0.5000 0.0000 0.0000
K: 0.0000 0.0000 0.0000
As: 0.0000 0.0000 0.5000
Ba: 0.5000 0.5000 0.5000



VASP calculation (GGA-PBE) on a relaxed structure of TiCrMoRh.

Output
Formation energy (eV per atom): -0.21
Mass density (g/cm3): 8.583
Spin magnetization (μB per formula unit): 1.436
Space group: F-43m
VASP energy (eV per atom): -9.13

a b c (Å): 4.3397 4.3397 4.3397
angles (deg): 60.00 60.00 60.00
Last column: magnetic moment on the atom in μB.
Fractional positions:
Cr: 0.7500 0.7500 0.7500  1.77
Ti: 0.2500 0.2500 0.2500  -0.11
Rh: 0.5000 0.5000 0.5000  0.21
Mo: 0.0000 0.0000 0.0000  -0.48



VASP calculation (GGA-PBE) on a relaxed structure of Pr3Ni2Hg.

Output
Formation energy (eV per atom): -0.30
Mass density (g/cm3): 7.937
Spin magnetization (μB per formula unit): 0.000
Space group: Pmc2_1
VASP energy (eV per atom): -4.67

a b c (Å): 4.0321 7.8380 9.8065
angles (deg): 90.00 90.00 90.00
Fractional positions:
Pr: 0.0000 0.8345 0.5714
Pr: 0.5000 0.2143 0.7355
Pr: 0.0000 0.3345 0.4286
Pr: 0.5000 0.6461 0.8680
Pr: 0.5000 0.7143 0.2645
Pr: 0.5000 0.1461 0.1320
Ni: 0.0000 0.4836 0.6955
Ni: 0.5000 0.5572 0.5617
Ni: 0.0000 0.9836 0.3045
Ni: 0.5000 0.0572 0.4383
Hg: 0.0000 0.4656 0.0828
Hg: 0.0000 0.9656 0.9172



VASP calculation (GGA-PBE) on a relaxed structure of Ce2Tc7.

Output
Formation energy (eV per atom): 0.06
Mass density (g/cm3): 9.897
Spin magnetization (μB per formula unit): 0.000
Space group: R-3m
VASP energy (eV per atom): -9.32

a b c (Å): 5.2052 5.2052 14.1408
angles (deg): 79.39 79.39 60.00
Fractional positions:
Tc: 0.0000 0.5000 0.0000
Tc: 0.3885 0.8945 0.3285
Tc: 0.6115 0.1055 0.6715
Tc: 0.7196 0.7196 0.8413
Tc: 0.2804 0.2804 0.1587
Tc: 0.6124 0.6124 0.1629
Tc: 0.5000 0.5000 0.5000
Tc: 0.6115 0.6115 0.6715
Tc: 0.5000 0.0000 0.0000
Tc: 0.3876 0.3876 0.8371
Tc: 0.3885 0.3885 0.3285
Tc: 0.1055 0.6115 0.6715
Tc: 0.5000 0.5000 0.0000
Tc: 0.8945 0.3885 0.3285
Ce: 0.1527 0.1527 0.5420
Ce: 0.0550 0.0550 0.8349
Ce: 0.9450 0.9450 0.1651
Ce: 0.8473 0.8473 0.4580



VASP calculation (GGA-PBE) on a relaxed structure of KNiPt.

Output
Formation energy (eV per atom): 1.50
Mass density (g/cm3): 6.774
Spin magnetization (μB per formula unit): 0.782
Excess energy over the best structure of this formula in the dataset (kJ/mol of formula units): 409
Space group: F-43m
VASP energy (eV per atom): -2.81

a b c (Å): 4.6651 4.6651 4.6651
angles (deg): 60.00 60.00 60.00
Last column: magnetic moment on the atom in μB.
Fractional positions:
K: 0.7500 0.7500 0.7500  -0.01
Pt: 0.5000 0.5000 0.5000  0.12
Ni: 0.0000 0.0000 0.0000  0.68



VASP calculation (GGA-PBE) on a relaxed structure of LiNpPa2As4.

Output
Formation energy (eV per atom): -0.81
Mass density (g/cm3): 8.681
Spin magnetization (μB per formula unit): 4.990
Space group: P2/m
VASP energy (eV per atom): -7.37

a b c (Å): 4.1336 6.9569 7.1196
angles (deg): 69.99 90.00 90.00
Last column: magnetic moment on the atom in μB.
Fractional positions:
Li: 0.0000 0.5000 0.5000  0.00
As: 0.5000 0.7532 0.2509  -0.03
As: 0.0000 0.7495 0.7464  -0.05
As: 0.5000 0.2468 0.7491  -0.03
As: 0.0000 0.2505 0.2536  -0.05
Pa: 0.5000 0.0000 0.5000  0.46
Pa: 0.0000 0.0000 0.0000  0.41
Np: 0.5000 0.5000 0.0000  3.77



VASP calculation (GGA-PBE) on a relaxed structure of PmYCdPt.

Output
Formation energy (eV per atom): -0.68
Mass density (g/cm3): 9.224
Spin magnetization (μB per formula unit): 0.000
Space group: F-43m
VASP energy (eV per atom): -5.22

a b c (Å): 5.1656 5.1656 5.1656
angles (deg): 60.00 60.00 60.00
Fractional positions:
Pm: 0.0000 0.0000 0.0000
Y: 0.5000 0.5000 0.5000
Cd: 0.2500 0.2500 0.2500
Pt: 0.7500 0.7500 0.7500



VASP calculation (GGA-PBE) on a relaxed structure of TaAg2Sb.

Output
Mass density (g/cm3): 11.100
ΔE_f (raw) (eV per atom): 0.426
Spin magnetization (μB per formula unit): 0.814
Space group: I-4m2
VASP energy (eV per atom): -4.99

a b c (Å): 5.1607 5.1607 5.1607
angles (deg): 130.55 130.55 72.53
Last column: magnetic moment on the atom in μB.
Fractional positions:
Ag: 0.0000 0.0000 0.0000  0.05
Ag: 0.2500 0.7500 0.5000  0.03
Sb: 0.5000 0.5000 0.0000  0.01
Ta: 0.7500 0.2500 0.5000  0.47



VASP calculation (GGA-PBE) on a relaxed structure of Pr2CoP2N6.

Output
Mass density (g/cm3): 6.138
ΔE_f (raw) (eV per atom): -0.556
Spin magnetization (μB per formula unit): 0.915
Space group: R-3m
VASP energy (eV per atom): -7.60

a b c (Å): 5.4329 5.4329 6.0315
angles (deg): 63.23 63.23 60.00
Last column: magnetic moment on the atom in μB.
Fractional positions:
Pr: 0.2205 0.2205 0.3386  0.00
Pr: 0.7795 0.7795 0.6614  0.00
N: 0.7564 0.2451 0.2421  0.04
N: 0.7564 0.7564 0.2421  0.04
N: 0.2436 0.7549 0.7579  0.04
N: 0.2436 0.2436 0.7579  0.04
N: 0.7549 0.2436 0.7579  0.04
N: 0.2451 0.7564 0.2421  0.04
P: 0.4294 0.4294 0.7118  -0.01
P: 0.5706 0.5706 0.2882  -0.01
Co: 0.0000 0.0000 0.0000  0.63



VASP calculation (GGA-PBE) on a relaxed structure of Np2P4PdRh3.

Output
Formation energy (eV per atom): -0.73
Mass density (g/cm3): 10.219
Spin magnetization (μB per formula unit): 7.321
Space group: P-4m2
VASP energy (eV per atom): -8.21

a b c (Å): 4.1656 4.1656 9.4867
angles (deg): 90.00 90.00 90.00
Last column: magnetic moment on the atom in μB.
Fractional positions:
P: 0.5000 0.5000 0.0000  -0.04
P: 0.0000 0.5000 0.3578  -0.03
P: 0.5000 0.0000 0.6422  -0.03
P: 0.0000 0.0000 0.0000  -0.04
Rh: 0.0000 0.0000 0.5000  -0.01
Rh: 0.5000 0.0000 0.8885  -0.05
Rh: 0.0000 0.5000 0.1115  -0.05
Np: 0.0000 0.5000 0.7577  3.63
Np: 0.5000 0.0000 0.2423  3.63
Pd: 0.5000 0.5000 0.5000  0.01



VASP calculation (GGA-PBE) on a relaxed structure of PaVN3.

Output
Mass density (g/cm3): 9.557
ΔE_f (raw) (eV per atom): -1.000
Spin magnetization (μB per formula unit): 0.000
Space group: Cmmm
VASP energy (eV per atom): -9.72

a b c (Å): 3.6816 5.1921 6.4367
angles (deg): 113.79 90.00 90.00
Fractional positions:
N: 0.5000 0.0000 0.5000
N: 0.5000 0.2688 0.0000
N: 0.5000 0.7312 0.0000
N: 0.5000 0.5000 0.5000
N: 0.0000 0.8533 0.7067
N: 0.0000 0.1467 0.2933
V: 0.5000 0.1107 0.2215
V: 0.5000 0.8893 0.7785
Pa: 0.0000 0.6551 0.3102
Pa: 0.0000 0.3449 0.6898



VASP calculation (GGA-PBE) on a relaxed structure of SbPbIN2.

Output
Mass density (g/cm3): 6.064
ΔE_f (raw) (eV per atom): 1.698
Spin magnetization (μB per formula unit): 1.301
Excess energy over the best structure of this formula in the dataset (kJ/mol of formula units): 225
Space group: P4/mmm
VASP energy (eV per atom): -3.51

a b c (Å): 4.5321 4.5321 6.4507
angles (deg): 90.00 90.00 90.00
Last column: magnetic moment on the atom in μB.
Fractional positions:
Sb: 0.5000 0.5000 0.5000  -0.24
N: 0.0000 0.5000 0.0000  0.69
N: 0.5000 0.0000 0.0000  0.69
Pb: 0.0000 0.0000 0.0000  -0.06
I: 0.0000 0.0000 0.5000  -0.02



VASP calculation (GGA-PBE) on a relaxed structure of KMgCrAs.

Output
Formation energy (eV per atom): 0.03
Mass density (g/cm3): 3.194
Spin magnetization (μB per formula unit): 3.397
Excess energy over the best structure of this formula in the dataset (kJ/mol of formula units): 0
Space group: P4mm
VASP energy (eV per atom): -4.21

a b c (Å): 3.4620 3.4620 8.2565
angles (deg): 90.00 90.00 90.00
Last column: magnetic moment on the atom in μB.
Fractional positions:
K: 0.5000 0.5000 0.6642  0.01
Cr: 0.5000 0.5000 0.0703  3.24
As: 0.0000 0.0000 0.9630  -0.16
Mg: 0.0000 0.0000 0.3004  -0.01



VASP calculation (GGA-PBE) on a relaxed structure of TaGeRu5.

Output
Formation energy (eV per atom): -0.02
Mass density (g/cm3): 11.675
Spin magnetization (μB per formula unit): 0.001
Space group: P4/mmm
VASP energy (eV per atom): -9.00

a b c (Å): 4.1188 4.1189 6.3631
angles (deg): 90.00 90.00 90.00
Fractional positions:
Ru: 0.5000 0.0000 0.2269
Ru: 0.5000 0.5000 0.5000
Ru: 0.5000 0.0000 0.7731
Ru: 0.0000 0.5000 0.7731
Ru: 0.0000 0.5000 0.2269
Ge: 0.5000 0.5000 0.0000
Ta: 0.0000 0.0000 0.5000



VASP calculation (GGA-PBE) on a relaxed structure of SrPtW2.

Output
Formation energy (eV per atom): 0.33
Mass density (g/cm3): 13.063
Spin magnetization (μB per formula unit): 0.000
Excess energy over the best structure of this formula in the dataset (kJ/mol of formula units): 0
Space group: P4mm
VASP energy (eV per atom): -8.08

a b c (Å): 3.2759 3.2759 7.7039
angles (deg): 90.00 90.00 90.00
Fractional positions:
W: 0.0000 0.0000 0.0730
W: 0.5000 0.5000 0.2369
Pt: 0.0000 0.0000 0.4509
Sr: 0.5000 0.5000 0.7392



VASP calculation (GGA-PBE) on a relaxed structure of FeRhSe2.

Output
Mass density (g/cm3): 7.135
ΔE_f (raw) (eV per atom): -0.159
Spin magnetization (μB per formula unit): 2.160
Space group: P4mm
VASP energy (eV per atom): -5.86

a b c (Å): 3.3749 3.3737 6.4728
angles (deg): 90.00 90.00 90.00
Last column: magnetic moment on the atom in μB.
Fractional positions:
Se: 0.0000 0.0000 0.8827  -0.03
Se: 0.5000 0.5000 0.3647  -0.04
Fe: 0.0000 0.0000 0.5132  2.33
Rh: 0.5000 0.5000 0.7394  -0.12



VASP calculation (GGA-PBE) on a relaxed structure of YOsCl2.

Output
Mass density (g/cm3): 6.407
ΔE_f (raw) (eV per atom): -0.229
Spin magnetization (μB per formula unit): 0.696
Excess energy over the best structure of this formula in the dataset (kJ/mol of formula units): 134
Space group: Pmm2
VASP energy (eV per atom): -5.58

a b c (Å): 3.6037 3.9050 6.4468
angles (deg): 90.00 90.00 90.00
Last column: magnetic moment on the atom in μB.
Fractional positions:
Cl: 0.0000 0.0000 0.9204  0.00
Cl: 0.5000 0.5000 0.2969  0.03
Os: 0.0000 0.0000 0.5547  0.67
Y: 0.5000 0.5000 0.7279  -0.06